Material: Pm3Cu
Method: DFT, PBE
State: relaxed

**Total magnetization**: 0.000 Bohr magnetons per cell
**Theoretical density**: 7.5 g/cm3
**Excess energy over the best structure of this formula in the dataset**: 5.11 kcal/mol of atoms
**E**: -35.52 eV/cell

a b c (Å): 4.6766 4.6766 10.0508
angles (deg): 90.00 90.00 90.00
Space group I4/mmm (No. 139)
Unique sites:
Pm (0.0000, 0.0000, 0.0000) [2 per cell]
Pm (0.0000, 0.5000, 0.2500) [4 per cell]
Cu (0.0000, 0.0000, 0.5000) [2 per cell]